! Cs2LiZnF6 | Alexandria via LeMat-Bulk | PBE-GGA | relaxed; values from VASP
&SYSTEM
  ibrav = 0, nat = 10, ntyp = 4
/
ATOMIC_SPECIES
Cs 132.91 Cs.upf
Li 6.94 Li.upf
Zn 65.41 Zn.upf
F 19.00 F.upf
ATOMIC_POSITIONS crystal
Cs 0.250 0.750 0.500
Cs 0.750 0.250 0.500
Li 0.000 0.000 0.000
Zn 0.500 0.500 0.000
F 0.230 0.230 0.000
F 0.281 0.281 0.562
F 0.281 0.719 0.000
F 0.719 0.281 0.000
F 0.719 0.719 0.438
F 0.770 0.770 0.000
CELL_PARAMETERS angstrom
-3.128 3.128 4.231
3.128 -3.128 4.231
3.128 3.128 -4.231
! E	-4.01	eV/atom



! CsLiZrF6 | Alexandria via LeMat-Bulk | PBE-GGA | relaxed; values from VASP
&SYSTEM
  ibrav = 0, nat = 9, ntyp = 4
/
ATOMIC_SPECIES
Cs 132.91 Cs.upf
Li 6.94 Li.upf
Zr 91.22 Zr.upf
F 19.00 F.upf
ATOMIC_POSITIONS crystal
Cs 0.000 0.000 0.000
Li 0.667 0.333 0.500
Zr 0.333 0.667 0.500
F 0.007 0.398 0.679
F 0.007 0.609 0.321
F 0.391 0.398 0.321
F 0.391 0.993 0.679
F 0.602 0.609 0.679
F 0.602 0.993 0.321
CELL_PARAMETERS angstrom
5.584 0.000 0.000
-2.792 4.836 0.000
0.000 0.000 6.478
! E	-5.90	eV/atom



! CsLu3F10 | Alexandria via LeMat-Bulk | PBE-GGA | relaxed; values from VASP
&SYSTEM
  ibrav = 0, nat = 56, ntyp = 3
/
ATOMIC_SPECIES
Cs 132.91 Cs.upf
Lu 174.97 Lu.upf
F 19.00 F.upf
ATOMIC_POSITIONS crystal
Cs 0.000 0.000 0.000
Cs 0.000 0.000 0.500
Cs 0.500 0.500 0.000
Cs 0.500 0.500 0.500
Lu 0.016 0.484 0.114
Lu 0.016 0.484 0.386
Lu 0.246 0.254 0.250
Lu 0.254 0.246 0.750
Lu 0.484 0.016 0.614
Lu 0.484 0.016 0.886
Lu 0.516 0.984 0.114
Lu 0.516 0.984 0.386
Lu 0.746 0.754 0.250
Lu 0.754 0.746 0.750
Lu 0.984 0.516 0.614
Lu 0.984 0.516 0.886
F 0.011 0.989 0.754
F 0.059 0.441 0.250
F 0.088 0.412 0.510
F 0.088 0.412 0.990
F 0.119 0.365 0.669
F 0.135 0.381 0.831
F 0.173 0.317 0.370
F 0.183 0.327 0.130
F 0.226 0.774 0.889
F 0.232 0.768 0.612
F 0.268 0.732 0.112
F 0.274 0.726 0.389
F 0.317 0.173 0.630
F 0.327 0.183 0.870
F 0.365 0.119 0.331
F 0.381 0.135 0.169
F 0.412 0.088 0.010
F 0.412 0.088 0.490
F 0.441 0.059 0.750
F 0.489 0.511 0.254
F 0.511 0.489 0.746
F 0.559 0.941 0.250
F 0.588 0.912 0.510
F 0.588 0.912 0.990
F 0.619 0.865 0.831
F 0.635 0.881 0.669
F 0.673 0.817 0.130
F 0.683 0.827 0.370
F 0.726 0.274 0.611
F 0.732 0.268 0.888
F 0.768 0.232 0.388
F 0.774 0.226 0.111
F 0.817 0.673 0.870
F 0.827 0.683 0.630
F 0.865 0.619 0.169
F 0.881 0.635 0.331
F 0.912 0.588 0.010
F 0.912 0.588 0.490
F 0.941 0.559 0.750
F 0.989 0.011 0.246
CELL_PARAMETERS angstrom
4.277 -6.750 0.000
4.277 6.750 0.000
0.000 0.000 16.204
! E	-6.39	eV/atom



! CsMgF2 | Alexandria via LeMat-Bulk | PBE-GGA | relaxed; values from VASP
&SYSTEM
  ibrav = 0, nat = 4, ntyp = 3
/
ATOMIC_SPECIES
Cs 132.91 Cs.upf
Mg 24.30 Mg.upf
F 19.00 F.upf
ATOMIC_POSITIONS crystal
Cs 0.000 0.000 0.000
Mg 0.500 0.500 0.500
F 0.250 0.250 0.250
F 0.750 0.750 0.750
CELL_PARAMETERS angstrom
0.000 3.464 3.464
3.464 0.000 3.464
3.464 3.464 0.000
! energy relative to the lowest polymorph listed for this composition	621	meV/atom
! E	-3.30	eV/atom



! Cs3Mg2F7 | Alexandria via LeMat-Bulk | PBE-GGA | relaxed; values from VASP
&SYSTEM
  ibrav = 0, nat = 12, ntyp = 3
/
ATOMIC_SPECIES
Cs 132.91 Cs.upf
Mg 24.30 Mg.upf
F 19.00 F.upf
ATOMIC_POSITIONS crystal
Cs 0.000 0.000 0.000
Cs 0.185 0.185 0.000
Cs 0.815 0.815 0.000
Mg 0.410 0.410 0.000
Mg 0.590 0.590 0.000
F 0.091 0.591 0.500
F 0.324 0.324 0.000
F 0.409 0.909 0.500
F 0.500 0.500 0.000
F 0.591 0.091 0.500
F 0.676 0.676 0.000
F 0.909 0.409 0.500
CELL_PARAMETERS angstrom
-2.125 2.125 11.710
2.125 -2.125 11.710
2.125 2.125 -11.710
! energy relative to the lowest polymorph listed for this composition	0	meV/atom
! E	-4.69	eV/atom



! Cs4Mg3F10 | Alexandria via LeMat-Bulk | PBE-GGA | relaxed; values from VASP
&SYSTEM
  ibrav = 0, nat = 34, ntyp = 3
/
ATOMIC_SPECIES
Cs 132.91 Cs.upf
Mg 24.30 Mg.upf
F 19.00 F.upf
ATOMIC_POSITIONS crystal
Cs 0.050 0.950 0.862
Cs 0.247 0.753 0.608
Cs 0.253 0.747 0.108
Cs 0.450 0.550 0.362
Cs 0.550 0.450 0.638
Cs 0.747 0.253 0.892
Cs 0.753 0.247 0.392
Cs 0.950 0.050 0.138
Mg 0.000 0.000 0.500
Mg 0.116 0.884 0.343
Mg 0.384 0.616 0.843
Mg 0.500 0.500 0.000
Mg 0.616 0.384 0.157
Mg 0.884 0.116 0.657
F 0.026 0.974 0.643
F 0.113 0.306 0.540
F 0.140 0.360 0.750
F 0.194 0.387 0.960
F 0.248 0.752 0.350
F 0.252 0.748 0.850
F 0.306 0.113 0.460
F 0.360 0.140 0.250
F 0.387 0.194 0.040
F 0.474 0.526 0.143
F 0.526 0.474 0.857
F 0.613 0.806 0.960
F 0.640 0.860 0.750
F 0.694 0.887 0.540
F 0.748 0.252 0.150
F 0.752 0.248 0.650
F 0.806 0.613 0.040
F 0.860 0.640 0.250
F 0.887 0.694 0.460
F 0.974 0.026 0.357
CELL_PARAMETERS angstrom
3.111 -7.371 0.000
3.111 7.371 0.000
0.000 0.000 13.894
! E	-4.77	eV/atom